Compound: HgAuCl
Source: the Alexandria database
Functional: PBEsol
Structure: optimized geometry

Cell and atoms, written as extended XYZ:
```
3
Lattice="0.000 3.273 3.273 3.273 0.000 3.273 3.273 3.273 0.000" Properties=species:S:1:pos:R:3 pbc="T T T"
Hg 0.000 0.000 0.000
Au 3.273 3.273 3.273
Cl 4.909 4.909 4.909
```

Values from the calculation:
energy	-5.18	eV for the cell shown

Compound: HgP2AuCl
Source: the Alexandria database
Functional: PBEsol
Structure: optimized geometry

Cell and atoms, written as extended XYZ:
```
5
Lattice="4.940 0.000 0.000 0.000 4.940 0.000 0.000 0.000 4.983" Properties=species:S:1:pos:R:3 pbc="T T T"
Hg 0.000 0.000 0.000
P 0.000 2.470 0.000
P 2.470 0.000 0.000
Au 2.470 2.470 2.492
Cl 0.000 0.000 2.492
```

Values from the calculation:
energy	-11.84	eV for the cell shown

Compound: HgAu2SCl
Source: the Alexandria database
Functional: PBEsol
Structure: optimized geometry

Cell and atoms, written as extended XYZ:
```
5
Lattice="4.628 0.000 0.000 0.000 4.628 0.000 0.000 0.000 5.311" Properties=species:S:1:pos:R:3 pbc="T T T"
Hg 0.000 0.000 0.000
Au 0.000 2.314 2.655
Au 2.314 0.000 2.655
S 0.000 0.000 2.655
Cl 2.314 2.314 0.000
```

Values from the calculation:
energy	-13.75	eV for the cell shown

Compound: HgWAuCl2
Source: the Alexandria database
Functional: PBEsol
Structure: optimized geometry

Cell and atoms, written as extended XYZ:
```
5
Lattice="4.539 0.000 0.000 0.000 4.539 0.000 0.000 0.000 5.428" Properties=species:S:1:pos:R:3 pbc="T T T"
Hg 0.000 0.000 0.000
W 2.269 2.269 2.714
Au 2.269 2.269 0.000
Cl 0.000 2.269 2.714
Cl 2.269 0.000 2.714
```

Values from the calculation:
energy	-21.10	eV for the cell shown